Er3Cu2Hg4, optimized geometry, DFT PBE-GGA; magnetic moment = 0.00 Bohr magnetons per cell; crystal system = monoclinic; ΔH_f (0 K) = -0.329 eV/atom
1.0
4.5542 0.0000 1.2149
1.9955 5.2726 1.6630
0.2417 -0.2822 8.2377
Hg Er Cu
4 3 2
direct
0.0558 0.2680 0.6205 Hg
0.9442 0.7320 0.3795 Hg
0.2893 0.3597 0.0617 Hg
0.7107 0.6403 0.9383 Hg
0.0000 0.0000 0.0000 Er
0.3307 0.6822 0.6565 Er
0.6693 0.3178 0.3435 Er
0.5998 0.0751 0.7253 Cu
0.4002 0.9249 0.2747 Cu